# YFeSb2

A geometry-optimized YFeSb2 structure (PBE, Alexandria). Values from VASP.

Summary:
ΔE_f (raw) ... 10 kJ/mol of atoms
DOS(E_F) ... 6.12 states/eV/f.u.
Total DFT energy (no corrections) ... -5.693 eV/atom
Volume ... 93.1 Å³ per cell

```
&SYSTEM
  ibrav = 0, nat = 4, ntyp = 3
/
ATOMIC_SPECIES
Fe 55.84 Fe.upf
Sb 121.76 Sb.upf
Y 88.91 Y.upf
CELL_PARAMETERS angstrom
5.0880 0.0000 0.0000
2.5440 4.4063 0.0000
2.5440 1.4688 4.1543
ATOMIC_POSITIONS crystal
Fe 0.5000 0.5000 0.5000
Sb 0.0000 0.0000 0.0000
Sb 0.2500 0.2500 0.2500
Y 0.7500 0.7500 0.7500
```

***

# BeZnMo3

A geometry-optimized BeZnMo3 structure (PBE, Alexandria). Values from VASP.

Summary:
ΔH_f (0 K) ... 72 kJ/mol of atoms
DOS(E_F) ... 5.33 states/eV/f.u.
Total DFT energy (no corrections) ... -6.748 eV/atom
Volume ... 75.8 Å³ per cell

```
&SYSTEM
  ibrav = 0, nat = 5, ntyp = 3
/
ATOMIC_SPECIES
Be 9.01 Be.upf
Mo 95.94 Mo.upf
Zn 65.41 Zn.upf
CELL_PARAMETERS angstrom
4.2312 0.0000 0.0000
0.0000 4.2312 0.0000
0.0000 0.0000 4.2312
ATOMIC_POSITIONS crystal
Be 0.0000 0.0000 0.0000
Mo 0.0000 0.5000 0.0000
Mo 0.0000 0.0000 0.5000
Mo 0.5000 0.0000 0.0000
Zn 0.5000 0.5000 0.5000
```

***

# Pr6Hg2Rh

A geometry-optimized Pr6Hg2Rh structure (PBE, Alexandria). Values from VASP.

Summary:
ΔH_f (0 K) ... -30 kJ/mol of atoms
DOS(E_F) ... 9.05 states/eV/f.u.
Total DFT energy (no corrections) ... -4.382 eV/atom
Volume ... 586.5 Å³ per cell

```
&SYSTEM
  ibrav = 0, nat = 18, ntyp = 3
/
ATOMIC_SPECIES
Pr 140.91 Pr.upf
Hg 200.59 Hg.upf
Rh 102.91 Rh.upf
CELL_PARAMETERS angstrom
7.2049 0.0000 0.1347
0.0000 7.5524 0.0000
-0.7092 0.0000 10.7655
ATOMIC_POSITIONS crystal
Pr 0.8796 0.9905 0.2462
Pr 0.8098 0.6846 0.5529
Pr 0.8125 0.7012 0.9486
Pr 0.6875 0.2012 0.5514
Pr 0.6902 0.1846 0.9471
Pr 0.6204 0.4905 0.2538
Pr 0.1204 0.0095 0.7538
Pr 0.1902 0.3154 0.4471
Pr 0.1875 0.2988 0.0514
Pr 0.3125 0.7988 0.4486
Pr 0.3098 0.8154 0.0529
Pr 0.3796 0.5095 0.7462
Hg 0.9543 0.4087 0.7625
Hg 0.5457 0.9087 0.7375
Hg 0.4543 0.0913 0.2625
Hg 0.0457 0.5913 0.2375
Rh 0.5000 0.5000 0.0000
Rh 0.0000 0.0000 0.5000
```

***

# BaReP2

A geometry-optimized BaReP2 structure (PBE, Alexandria). Values from VASP.

Summary:
ΔH_f (0 K) ... 8 kJ/mol of atoms
DOS(E_F) ... 3.58 states/eV/f.u.
Total DFT energy (no corrections) ... -6.211 eV/atom
Volume ... 90.1 Å³ per cell

```
&SYSTEM
  ibrav = 0, nat = 4, ntyp = 3
/
ATOMIC_SPECIES
Ba 137.33 Ba.upf
P 30.97 P.upf
Re 186.21 Re.upf
CELL_PARAMETERS angstrom
3.3130 0.0000 0.0000
0.0000 3.3130 0.0000
0.0000 0.0000 8.2057
ATOMIC_POSITIONS crystal
Ba 0.5000 0.5000 0.7723
P 0.0000 0.0000 0.0305
P 0.5000 0.5000 0.3919
Re 0.0000 0.0000 0.3053
```

***

DOS(E_F) of number 4 (BaReP2)?
3.58 states/eV/f.u.

***

The highest volume belongs to which entry?
Pr6Hg2Rh